No. 1
The following is a PBE-GGA calculation of MgTlBr2 after structural relaxation, from Alexandria via LeMat-Bulk.

Geometry as CIF:
```
data_MgTlBr2
_cell_length_a 7.770
_cell_length_b 7.770
_cell_length_c 7.770
_cell_angle_alpha 90.00
_cell_angle_beta 90.00
_cell_angle_gamma 90.00
_symmetry_space_group_name_H-M 'F m -3 m'
_symmetry_Int_Tables_number 225
_symmetry_space_group_name_Hall '-F 4 2 3'
loop_
_atom_site_label
_atom_site_type_symbol
_atom_site_fract_x
_atom_site_fract_y
_atom_site_fract_z
_atom_site_occupancy
Mg1 Mg 0.000 0.000 0.000 1
Tl1 Tl 0.000 0.000 0.500 1
Br1 Br 0.250 0.250 0.250 1
```

## Properties
* D(E_F): 2.35 states/eV/f.u.
* total moment: 0.0 Bohr magnetons per cell
* uncorrected formation energy: -55.5 kJ per mole of atoms
* mass density: 5.5 g/cm³
* final energy: -38.44 eV for the cell shown


No. 2
The following is a PBE-GGA calculation of KLi2Mn after structural relaxation, from Alexandria via LeMat-Bulk.

Geometry as CIF:
```
data_KLi2Mn
_cell_length_a 9.557
_cell_length_b 3.091
_cell_length_c 7.297
_cell_angle_alpha 90.00
_cell_angle_beta 94.94
_cell_angle_gamma 90.00
_symmetry_space_group_name_H-M 'C 1 2/m 1'
_symmetry_Int_Tables_number 12
loop_
_symmetry_equiv_pos_as_xyz
'x,y,z'
'-x,-y,-z'
'-x,y,-z'
'x,-y,z'
'x+1/2,y+1/2,z'
'-x+1/2,-y+1/2,-z'
'-x+1/2,y+1/2,-z'
'x+1/2,-y+1/2,z'
loop_
_atom_site_label
_atom_site_type_symbol
_atom_site_fract_x
_atom_site_fract_y
_atom_site_fract_z
_atom_site_occupancy
K1 K 0.000 0.000 0.000 1
Li1 Li 0.234 0.000 0.659 1
Mn1 Mn 0.000 0.500 0.500 1
```

## Properties
* D(E_F): 3.30 states/eV/f.u.
* formation energy from the elements: 0.503 eV/atom
* total moment: 7.9 Bohr magnetons per cell
* mass density: 1.7 g/cm³
* final energy: -24.16 eV for the cell shown


No. 3
The following is a PBE-GGA calculation of ZrTa2Cl after structural relaxation, from Alexandria via LeMat-Bulk.

Geometry as CIF:
```
data_ZrTa2Cl
_cell_length_a 3.2320
_cell_length_b 3.2320
_cell_length_c 29.6724
_cell_angle_alpha 90.00
_cell_angle_beta 90.00
_cell_angle_gamma 120.00
_symmetry_space_group_name_H-M 'R 3 m'
_symmetry_Int_Tables_number 160
_symmetry_space_group_name_Hall 'R 3 -2"'
loop_
_atom_site_label
_atom_site_type_symbol
_atom_site_fract_x
_atom_site_fract_y
_atom_site_fract_z
_atom_site_occupancy
Zr1 Zr 0.0000 0.0000 0.0000 1
Ta1 Ta 0.0000 0.0000 0.4808 1
Ta2 Ta 0.0000 0.0000 0.7468 1
Cl1 Cl 0.0000 0.0000 0.2711 1
```

## Properties
* D(E_F): 4.01 states/eV/f.u.
* total moment: 2.8 Bohr magnetons per cell
* uncorrected formation energy: -7.3 kJ per mole of atoms
* mass density: 9.1 g/cm³
* final energy: -103.21 eV for the cell shown


No. 4
The following is a PBE-GGA calculation of Pu2MgF6 after structural relaxation, from Alexandria via LeMat-Bulk.

Geometry as CIF:
```
data_Pu2MgF6
_cell_length_a 5.822
_cell_length_b 4.147
_cell_length_c 11.716
_cell_angle_alpha 90.00
_cell_angle_beta 118.40
_cell_angle_gamma 90.00
_symmetry_space_group_name_H-M 'P 1 21/c 1'
_symmetry_Int_Tables_number 14
loop_
_symmetry_equiv_pos_as_xyz
'x,y,z'
'-x,-y,-z'
'-x,y+1/2,-z+1/2'
'x,-y+1/2,z+1/2'
loop_
_atom_site_label
_atom_site_type_symbol
_atom_site_fract_x
_atom_site_fract_y
_atom_site_fract_z
_atom_site_occupancy
Pu1 Pu 0.164 0.228 0.168 1
Mg1 Mg 0.500 0.000 0.500 1
F1 F 0.156 0.230 0.454 1
F2 F 0.263 0.747 0.834 1
F3 F 0.405 0.727 0.127 1
```

## Properties
* D(E_F): 25.36 states/eV/f.u.
* total moment: 24.0 Bohr magnetons per cell
* uncorrected formation energy: -305.4 kJ per mole of atoms
* mass density: 8.4 g/cm³
* final energy: -139.95 eV for the cell shown